Entry from the Alexandria database: crystalline YFeCoN2 at its relaxed geometry (PBE).

Cell and atoms, written as POSCAR:
```
YFeCoN2
1.0
-3.624 -1.338 -0.212
1.390 -3.505 -1.629
0.350 -1.509 3.545
Y Co Fe N
1 1 1 2
Direct
0.500 0.500 0.500 Y
0.000 0.000 0.000 Co
0.000 0.500 0.000 Fe
0.000 0.000 0.500 N
0.500 0.000 0.000 N
```

Properties
SG	P4/mmm
volume	12.3	A^3/atom
DOS(E_F)	7.34	states/eV/cell
total magnetization	0.00	μB/cell

Entry from the Alexandria database: crystalline ZrNbZn2 at its relaxed geometry (PBE).

Cell and atoms, written as POSCAR:
```
ZrNbZn2
1.0
7.435 0.000 0.000
0.000 7.435 0.000
3.718 3.718 2.693
Nb Zn Zr
2 4 2
Direct
0.000 0.000 0.000 Nb
0.750 0.250 0.500 Nb
0.637 0.125 0.250 Zn
0.113 0.625 0.250 Zn
0.375 0.363 0.750 Zn
0.875 0.887 0.750 Zn
0.500 0.500 0.000 Zr
0.250 0.750 0.500 Zr
```

Properties
DFT formation energy	0.23	eV per atom
SG	I-42d
volume	18.6	A^3/atom
DOS(E_F)	6.51	states/eV/cell
total magnetization	0.00	μB/cell

no.,total energy (eV/atom)
1,-7.00
2,-5.07